Material: As3RhN
Method: DFT, PBE
State: optimized geometry

Cell: 4.742 4.742 4.742 Å, 90.00 90.00 90.00°
Atoms (fractional coordinates):
Rh 0.000 0.000 0.000
N 0.500 0.500 0.500
As 0.000 0.500 0.000
As 0.000 0.000 0.500
As 0.500 0.000 0.000

Spin magnetization = 0.000 μB/atom
Uncorrected formation energy = 7.65 eV per formula unit
Crystal system = cubic
Polymorph energy (0 for the lowest one) = 868 meV/atom
Theoretical density = 5.3 Mg/m³

=====

Material: AsRhN2
Method: DFT, PBE
State: optimized geometry

Cell: 4.805 4.805 5.595 Å, 64.57 64.57 90.00°
Atoms (fractional coordinates):
N 0.150 0.625 0.250
N 0.875 0.850 0.750
N 0.600 0.125 0.250
N 0.375 0.400 0.750
As 0.500 0.500 0.000
As 0.250 0.750 0.500
Rh 0.000 0.000 0.000
Rh 0.750 0.250 0.500

Spin magnetization = 0.000 μB/atom
Uncorrected formation energy = 3.15 eV per formula unit
Crystal system = tetragonal
Theoretical density = 6.7 Mg/m³

=====

Material: AsRhN
Method: DFT, PBE
State: optimized geometry

Cell: 7.116 2.911 10.524 Å, 90.00 131.83 90.00°
Atoms (fractional coordinates):
N 0.670 0.000 0.063
N 0.670 0.500 0.563
N 0.171 0.000 0.432
N 0.171 0.500 0.932
As 0.996 0.000 0.931
As 0.427 0.500 0.313
As 0.427 0.000 0.813
As 0.996 0.500 0.431
Rh 0.070 0.000 0.191
Rh 0.582 0.500 0.158
Rh 0.070 0.500 0.691
Rh 0.582 0.000 0.658

Spin magnetization = 0.000 μB/atom
Uncorrected formation energy = 0.38 eV per formula unit
Crystal system = monoclinic
Polymorph energy (0 for the lowest one) = 269 meV/atom
Theoretical density = 7.8 Mg/m³

=====

Material: AsRhN
Method: DFT, PBE
State: optimized geometry

Cell: 3.455 2.894 8.419 Å, 90.00 90.00 90.00°
Atoms (fractional coordinates):
As 0.000 0.500 0.280
As 0.000 0.000 0.780
N 0.000 0.000 0.424
N 0.000 0.500 0.924
Rh 0.500 0.000 0.589
Rh 0.500 0.500 0.089

Spin magnetization = 0.000 μB/atom
Uncorrected formation energy = 0.76 eV per formula unit
Crystal system = orthorhombic
Polymorph energy (0 for the lowest one) = 396 meV/atom
Theoretical density = 7.6 Mg/m³

=====

Material: AsRhN
Method: DFT, PBE
State: optimized geometry

Cell: 3.415 3.415 12.595 Å, 103.95 103.95 89.98°
Atoms (fractional coordinates):
N 0.582 0.582 0.544
N 0.418 0.418 0.456
As 0.628 0.628 0.862
As 0.372 0.372 0.138
Rh 0.813 0.813 0.070
Rh 0.187 0.187 0.930

Spin magnetization = 0.000 μB/atom
Uncorrected formation energy = -0.43 eV per formula unit
Crystal system = monoclinic
Polymorph energy (0 for the lowest one) = 0 meV/atom
Theoretical density = 4.6 Mg/m³

=====

Material: AsRhN3
Method: DFT, PBE
State: optimized geometry

Cell: 3.890 3.890 3.890 Å, 90.00 90.00 90.00°
Last column: magnetic moment on the atom in μB.
Atoms (fractional coordinates):
N 0.000 0.000 0.500  0.28
N 0.000 0.500 0.000  0.44
N 0.500 0.000 0.000  0.44
As 0.500 0.500 0.500  -0.08
Rh 0.000 0.000 0.000  0.20

Spin magnetization = 0.326 μB/atom
Uncorrected formation energy = 8.64 eV per formula unit
Crystal system = cubic
Theoretical density = 6.2 Mg/m³

=====

Material: AsRhN
Method: DFT, PBE
State: optimized geometry

Cell: 3.671 4.216 5.460 Å, 102.00 102.46 92.63°
Atoms (fractional coordinates):
Rh 0.330 0.802 0.541
Rh 0.975 0.351 0.062
As 0.754 0.403 0.462
As 0.455 0.680 0.963
N 0.864 0.114 0.681
N 0.392 0.051 0.208

Spin magnetization = 0.000 μB/atom
Uncorrected formation energy = 0.67 eV per formula unit
Crystal system = triclinic
Polymorph energy (0 for the lowest one) = 364 meV/atom
Theoretical density = 7.9 Mg/m³

=====

Material: AsRhN3
Method: DFT, PBE
State: optimized geometry

Cell: 3.709 3.709 3.709 Å, 90.00 90.00 90.00°
Atoms (fractional coordinates):
As 0.000 0.000 0.000
N 0.000 0.000 0.500
N 0.500 0.000 0.000
N 0.000 0.500 0.000
Rh 0.500 0.500 0.500

Spin magnetization = 0.000 μB/atom
Uncorrected formation energy = 8.50 eV per formula unit
Crystal system = cubic
Theoretical density = 7.2 Mg/m³

=====

Material: AsRhN2
Method: DFT, PBE
State: optimized geometry

Cell: 6.374 6.374 6.374 Å, 26.31 26.31 26.31°
Atoms (fractional coordinates):
As 0.500 0.500 0.500
Rh 0.000 0.000 0.000
N 0.891 0.891 0.891
N 0.109 0.109 0.109

Spin magnetization = 0.000 μB/atom
Uncorrected formation energy = 2.15 eV per formula unit
Crystal system = trigonal
Theoretical density = 7.6 Mg/m³

=====

Material: AsRhN
Method: DFT, PBE
State: optimized geometry

Cell: 2.895 10.765 5.079 Å, 90.00 90.00 90.00°
Atoms (fractional coordinates):
Rh 0.000 0.115 0.426
Rh 0.000 0.885 0.926
Rh 0.500 0.385 0.926
Rh 0.500 0.615 0.426
N 0.500 0.421 0.342
N 0.500 0.579 0.842
N 0.000 0.921 0.342
N 0.000 0.079 0.842
As 0.500 0.165 0.024
As 0.000 0.665 0.024
As 0.500 0.835 0.524
As 0.000 0.335 0.524

Spin magnetization = 0.000 μB/atom
Uncorrected formation energy = 0.67 eV per formula unit
Crystal system = orthorhombic
Polymorph energy (0 for the lowest one) = 366 meV/atom
Theoretical density = 8.1 Mg/m³

=====

Material: AsRhN
Method: DFT, PBE
State: optimized geometry

Cell: 5.509 5.557 6.536 Å, 90.00 125.76 90.00°
Atoms (fractional coordinates):
Rh 0.559 0.285 0.932
Rh 0.559 0.785 0.432
Rh 0.059 0.715 0.432
Rh 0.059 0.215 0.932
As 0.410 0.366 0.352
As 0.410 0.866 0.852
As 0.910 0.134 0.352
As 0.910 0.634 0.852
N 0.239 0.856 0.039
N 0.739 0.144 0.539
N 0.239 0.356 0.539
N 0.739 0.644 0.039

Spin magnetization = 0.000 μB/atom
Uncorrected formation energy = 0.39 eV per formula unit
Crystal system = monoclinic
Polymorph energy (0 for the lowest one) = 271 meV/atom
Theoretical density = 7.8 Mg/m³

=====

Material: AsRhN
Method: DFT, PBE
State: optimized geometry

Cell: 4.576 6.587 5.830 Å, 90.00 108.62 90.00°
Atoms (fractional coordinates):
Rh 0.266 0.272 0.158
Rh 0.266 0.228 0.658
Rh 0.266 0.728 0.158
Rh 0.266 0.772 0.658
N 0.584 0.500 0.731
N 0.584 0.000 0.231
N 0.613 0.500 0.250
N 0.613 0.000 0.750
As 0.903 0.000 0.070
As 0.903 0.500 0.570
As 0.853 0.000 0.549
As 0.853 0.500 0.049

Spin magnetization = 0.000 μB/atom
Uncorrected formation energy = 0.75 eV per formula unit
Crystal system = monoclinic
Polymorph energy (0 for the lowest one) = 392 meV/atom
Theoretical density = 7.7 Mg/m³

=====

What did the fifth record say?
Material: AsRhN
Method: DFT, PBE
State: optimized geometry

Cell: 3.415 3.415 12.595 Å, 103.95 103.95 89.98°
Atoms (fractional coordinates):
N 0.582 0.582 0.544
N 0.418 0.418 0.456
As 0.628 0.628 0.862
As 0.372 0.372 0.138
Rh 0.813 0.813 0.070
Rh 0.187 0.187 0.930

Spin magnetization = 0.000 μB/atom
Uncorrected formation energy = -0.43 eV per formula unit
Crystal system = monoclinic
Polymorph energy (0 for the lowest one) = 0 meV/atom
Theoretical density = 4.6 Mg/m³

=====

Which value of spin magnetization does entry 12 give? 0.000 μB/atom

=====

Look up the spin magnetization of the seventh one. 0.000 μB/atom

=====

Look up the uncorrected formation energy of the second one. 3.15 eV per formula unit